Entry w
The following is a DFT calculation (PBE-GGA) of a geometry-optimized Ac2LaTm structure. Values from VASP.

Cell and atoms, written as Quantum ESPRESSO input:
```
&SYSTEM
  ibrav = 0, nat = 4, ntyp = 3
/
ATOMIC_SPECIES
Ac 227.00 Ac.upf
Tm 168.93 Tm.upf
La 138.91 La.upf
CELL_PARAMETERS angstrom
3.7311 0.0000 0.0000
1.8656 3.2312 0.0000
1.8656 1.0771 13.2169
ATOMIC_POSITIONS crystal
Ac 0.0873 0.0873 0.7381
Ac 0.9127 0.9127 0.2619
Tm 0.0000 0.0000 0.0000
La 0.5000 0.5000 0.5000
```

Summary:
density	7.94	g cm⁻³
D(E_F)	6.30	states/eV/f.u.
space-group type	R-3m (166)

=====

Entry x
The following is a DFT calculation (PBE-GGA) of a geometry-optimized Ac2LaTm structure. Values from VASP.

Cell and atoms, written as Quantum ESPRESSO input:
```
&SYSTEM
  ibrav = 0, nat = 4, ntyp = 3
/
ATOMIC_SPECIES
Ac 227.00 Ac.upf
Tm 168.93 Tm.upf
La 138.91 La.upf
CELL_PARAMETERS angstrom
-1.1626 5.6996 1.7160
0.3183 1.5270 5.8608
4.5040 3.5530 1.9676
ATOMIC_POSITIONS crystal
Ac 0.2500 0.2500 0.2500
Ac 0.7500 0.7500 0.7500
Tm 0.5000 0.5000 0.5000
La 0.0000 0.0000 0.0000
```

Summary:
density	8.02	g cm⁻³
D(E_F)	9.58	states/eV/f.u.
space-group type	Fm-3m (225)

=====

Q: Which of them is the least stable? A: entry w.

=====

Entry w
The following is a DFT calculation (PBE-GGA) of a geometry-optimized AcLa2Tm structure. Values from VASP.

Cell and atoms, written as Quantum ESPRESSO input:
```
&SYSTEM
  ibrav = 0, nat = 4, ntyp = 3
/
ATOMIC_SPECIES
Ac 227.00 Ac.upf
Tm 168.93 Tm.upf
La 138.91 La.upf
CELL_PARAMETERS angstrom
3.7686 0.0000 0.0000
1.8843 3.2637 0.0000
1.8843 1.0879 12.0928
ATOMIC_POSITIONS crystal
Ac 0.0000 0.0000 0.0000
Tm 0.5000 0.5000 0.5000
La 0.7545 0.7545 0.7365
La 0.2455 0.2455 0.2635
```

Summary:
density	7.52	g cm⁻³
D(E_F)	5.81	states/eV/f.u.
space-group type	R-3m (166)

=====

Entry x
The following is a DFT calculation (PBE-GGA) of a geometry-optimized AcLa2Tm structure. Values from VASP.

Cell and atoms, written as Quantum ESPRESSO input:
```
&SYSTEM
  ibrav = 0, nat = 4, ntyp = 3
/
ATOMIC_SPECIES
Ac 227.00 Ac.upf
Tm 168.93 Tm.upf
La 138.91 La.upf
CELL_PARAMETERS angstrom
5.9849 0.0000 0.0000
2.9925 5.1831 0.0000
2.9925 1.7277 4.8867
ATOMIC_POSITIONS crystal
Ac 0.0000 0.0000 0.0000
Tm 0.5000 0.5000 0.5000
La 0.2500 0.2500 0.2500
La 0.7500 0.7500 0.7500
```

Summary:
density	7.38	g cm⁻³
D(E_F)	11.27	states/eV/f.u.
space-group type	Fm-3m (225)

=====

Q: Which of them is the least stable? A: entry x.

=====

Entry w
The following is a DFT calculation (PBE-GGA) of a geometry-optimized AcLa3Tm structure. Values from VASP.

Cell and atoms, written as Quantum ESPRESSO input:
```
&SYSTEM
  ibrav = 0, nat = 10, ntyp = 3
/
ATOMIC_SPECIES
Ac 227.00 Ac.upf
La 138.91 La.upf
Tm 168.93 Tm.upf
CELL_PARAMETERS angstrom
6.1633 0.0000 0.0000
-3.0817 4.6865 0.0000
0.0000 0.0000 13.4603
ATOMIC_POSITIONS crystal
Ac 0.0000 0.0000 0.5000
Ac 0.0000 0.0000 0.0000
La 0.0637 0.1274 0.7500
La 0.9363 0.8726 0.2500
La 0.3785 0.7570 0.6205
La 0.6215 0.2430 0.3795
La 0.6215 0.2430 0.1205
La 0.3785 0.7570 0.8795
Tm 0.2788 0.5575 0.2500
Tm 0.7212 0.4425 0.7500
```

Summary:
density	6.94	g cm⁻³
D(E_F)	6.05	states/eV/f.u.
space-group type	Cmcm (63)

=====

Entry x
The following is a DFT calculation (PBE-GGA) of a geometry-optimized AcLa3Tm structure. Values from VASP.

Cell and atoms, written as Quantum ESPRESSO input:
```
&SYSTEM
  ibrav = 0, nat = 10, ntyp = 3
/
ATOMIC_SPECIES
Ac 227.00 Ac.upf
La 138.91 La.upf
Tm 168.93 Tm.upf
CELL_PARAMETERS angstrom
3.7941 -0.0251 -0.0012
0.0692 9.9764 5.8769
0.0157 2.1203 11.3635
ATOMIC_POSITIONS crystal
Ac 0.2570 0.4122 0.2438
Ac 0.2580 0.8056 0.8518
La 0.7576 0.1893 0.6273
La 0.7577 0.0285 0.4683
La 0.7579 0.6331 0.6974
La 0.7576 0.2574 0.0724
La 0.7579 0.9604 0.0232
La 0.7575 0.5847 0.3983
Tm 0.2576 0.3293 0.7675
Tm 0.2577 0.8885 0.3282
```

Summary:
density	7.05	g cm⁻³
D(E_F)	8.74	states/eV/f.u.
space-group type	P2/m (10)

=====

Q: Which of them is the least stable? A: entry w.

=====

Entry w
The following is a DFT calculation (PBE-GGA) of a geometry-optimized Ac4LaTm structure. Values from VASP.

Cell and atoms, written as Quantum ESPRESSO input:
```
&SYSTEM
  ibrav = 0, nat = 12, ntyp = 3
/
ATOMIC_SPECIES
Ac 227.00 Ac.upf
La 138.91 La.upf
Tm 168.93 Tm.upf
CELL_PARAMETERS angstrom
6.2156 0.0000 0.0000
0.0000 7.4775 0.0006
0.0000 -0.0009 10.6695
ATOMIC_POSITIONS crystal
Ac 0.9999 0.5000 0.6654
Ac 0.4999 0.5000 0.8296
Ac 0.9999 0.0000 0.3346
Ac 0.5001 0.5000 0.1704
Ac 0.4999 0.0000 0.1704
Ac 0.0001 0.0000 0.6654
Ac 0.5001 0.0000 0.8296
Ac 0.0001 0.5000 0.3346
La 0.0000 0.7500 0.0000
La 0.0000 0.2500 0.0000
Tm 0.5001 0.7500 0.5000
Tm 0.4999 0.2500 0.5000
```

Summary:
density	8.14	g cm⁻³
D(E_F)	11.29	states/eV/f.u.
space-group type	Pmmm (47)

=====

Entry x
The following is a DFT calculation (PBE-GGA) of a geometry-optimized Ac4LaTm structure. Values from VASP.

Cell and atoms, written as Quantum ESPRESSO input:
```
&SYSTEM
  ibrav = 0, nat = 6, ntyp = 3
/
ATOMIC_SPECIES
Ac 227.00 Ac.upf
Tm 168.93 Tm.upf
La 138.91 La.upf
CELL_PARAMETERS angstrom
7.1676 0.0000 0.0000
3.5838 6.2073 0.0000
3.5838 2.0691 5.8523
ATOMIC_POSITIONS crystal
Ac 0.6259 0.6259 0.1223
Ac 0.6259 0.1223 0.6259
Ac 0.6259 0.6259 0.6259
Ac 0.1223 0.6259 0.6259
Tm 0.0000 0.0000 0.0000
La 0.2500 0.2500 0.2500
```

Summary:
density	7.75	g cm⁻³
D(E_F)	9.17	states/eV/f.u.
space-group type	F-43m (216)

=====

Q: Which of them is the least stable? A: entry x.

=====

Entry w
The following is a DFT calculation (PBE-GGA) of a geometry-optimized AcLaTm2 structure. Values from VASP.

Cell and atoms, written as Quantum ESPRESSO input:
```
&SYSTEM
  ibrav = 0, nat = 4, ntyp = 3
/
ATOMIC_SPECIES
Ac 227.00 Ac.upf
La 138.91 La.upf
Tm 168.93 Tm.upf
CELL_PARAMETERS angstrom
3.7056 0.0000 0.0000
1.8528 3.2092 0.0000
1.8528 1.0697 11.8534
ATOMIC_POSITIONS crystal
Ac 0.5003 0.5003 0.4990
La 0.6665 0.6665 0.0005
Tm 0.0807 0.0807 0.7578
Tm 0.2524 0.2524 0.2427
```

Summary:
density	8.29	g cm⁻³
D(E_F)	6.22	states/eV/f.u.
space-group type	R3m (160)

=====

Entry x
The following is a DFT calculation (PBE-GGA) of a geometry-optimized AcLaTm2 structure. Values from VASP.

Cell and atoms, written as Quantum ESPRESSO input:
```
&SYSTEM
  ibrav = 0, nat = 4, ntyp = 3
/
ATOMIC_SPECIES
Ac 227.00 Ac.upf
Tm 168.93 Tm.upf
La 138.91 La.upf
CELL_PARAMETERS angstrom
-3.6343 -0.7092 0.3234
-1.1644 -2.7834 2.1708
-2.2242 6.1763 9.9084
ATOMIC_POSITIONS crystal
Ac 0.5000 0.5000 0.5000
Tm 0.7486 0.7486 0.7542
Tm 0.2514 0.2514 0.2458
La 0.0000 0.0000 0.0000
```

Summary:
density	8.35	g cm⁻³
D(E_F)	4.67	states/eV/f.u.
space-group type	R-3m (166)

=====

Entry y
The following is a DFT calculation (PBE-GGA) of a geometry-optimized AcLaTm2 structure. Values from VASP.

Cell and atoms, written as Quantum ESPRESSO input:
```
&SYSTEM
  ibrav = 0, nat = 4, ntyp = 3
/
ATOMIC_SPECIES
Ac 227.00 Ac.upf
Tm 168.93 Tm.upf
La 138.91 La.upf
CELL_PARAMETERS angstrom
4.8795 0.0000 0.0000
0.0000 5.3643 0.0000
0.0000 0.0000 5.3643
ATOMIC_POSITIONS crystal
Ac 0.5000 0.5000 0.5000
Tm 0.0000 0.0000 0.5000
Tm 0.0000 0.5000 0.0000
La 0.5000 0.0000 0.0000
```

Summary:
density	8.32	g cm⁻³
D(E_F)	5.26	states/eV/f.u.
space-group type	P4/mmm (123)

=====

Q: Which of them is the least stable? A: entry w.

=====

Entry w
The following is a DFT calculation (PBE-GGA) of a geometry-optimized AcLaTm2 structure. Values from VASP.

Cell and atoms, written as Quantum ESPRESSO input:
```
&SYSTEM
  ibrav = 0, nat = 4, ntyp = 3
/
ATOMIC_SPECIES
Ac 227.00 Ac.upf
Tm 168.93 Tm.upf
La 138.91 La.upf
CELL_PARAMETERS angstrom
-0.6784 2.3323 -2.9465
2.2534 -2.1436 -2.2156
-7.6095 -5.3956 -2.5189
ATOMIC_POSITIONS crystal
Ac 0.5000 0.5000 0.5000
Tm 0.0000 0.0000 0.7580
Tm 0.0000 0.0000 0.2420
La 0.5000 0.5000 0.0000
```

Summary:
density	8.29	g cm⁻³
D(E_F)	5.37	states/eV/f.u.
space-group type	P4/mmm (123)

=====

Entry x
The following is a DFT calculation (PBE-GGA) of a geometry-optimized AcLaTm2 structure. Values from VASP.

Cell and atoms, written as Quantum ESPRESSO input:
```
&SYSTEM
  ibrav = 0, nat = 4, ntyp = 3
/
ATOMIC_SPECIES
Ac 227.00 Ac.upf
Tm 168.93 Tm.upf
La 138.91 La.upf
CELL_PARAMETERS angstrom
5.8595 0.0000 0.0000
2.9297 5.0744 0.0000
2.9297 1.6915 4.7842
ATOMIC_POSITIONS crystal
Ac 0.0000 0.0000 0.0000
Tm 0.2500 0.2500 0.2500
Tm 0.7500 0.7500 0.7500
La 0.5000 0.5000 0.5000
```

Summary:
density	8.22	g cm⁻³
D(E_F)	6.28	states/eV/f.u.
space-group type	Fm-3m (225)

=====

Q: Which of them is the least stable? A: entry x.